(1)
VASP calculation (PBE) on a relaxed structure of Ac2HoSi.

The structure belongs to space group R-3m (No. 166, hexagonal axes); the cell edges are 4.1172, 4.1172 and 33.0530 Å and the angles 90.00°, 90.00° and 120.00°. The inequivalent atoms are Ac at (0.0000, 0.0000, 0.1102), Ho at (0.0000, 0.0000, 0.0000) and Si at (0.0000, 0.0000, 0.5000).

For the energy above the most stable polymorph in this dataset, the calculation gives 0.279 eV/atom. The value obtained for the calculated density is 6.6 g cm⁻³. The calculation puts the density of states at the Fermi level at 2.10 states/eV/atom. Its raw total energy is -4.350 eV per atom. As for the formation energy without anion corrections: 0.205 eV per atom. The calculation puts the volume at 40.4 Å³ per atom.

(2)
VASP calculation (PBE) on a relaxed structure of AcHoSi.

The structure belongs to space group Fdd2 (No. 43); the cell edges are 12.4005, 13.5108 and 9.1687 Å and the angles 90.00°, 90.00° and 90.00°. The inequivalent atoms are Ac at (0.1044, 0.3631, 0.0000), Ho at (0.0241, 0.3688, 0.6064) and Si at (0.0668, 0.2719, 0.3271).

For the energy above the most stable polymorph in this dataset, the calculation gives 0.000 eV/atom. The value obtained for the calculated density is 7.3 g cm⁻³. The calculation puts the density of states at the Fermi level at 1.13 states/eV/atom. Its raw total energy is -5.085 eV per atom. As for the formation energy without anion corrections: -0.382 eV per atom. The calculation puts the volume at 32.0 Å³ per atom.

(3)
VASP calculation (PBE) on a relaxed structure of AcHoZnSi.

The structure belongs to space group F-43m (No. 216); the cell edges are 7.3901, 7.3901 and 7.3901 Å and the angles 90.00°, 90.00° and 90.00°. The inequivalent atoms are Ac at (0.0000, 0.0000, 0.0000), Ho at (0.0000, 0.0000, 0.5000), Zn at (0.2500, 0.2500, 0.7500) and Si at (0.2500, 0.2500, 0.2500).

The value obtained for the calculated density is 8.0 g cm⁻³. The calculation puts the density of states at the Fermi level at 0.58 states/eV/atom. Its raw total energy is -4.178 eV per atom. As for the formation energy without anion corrections: -0.332 eV per atom. The calculation puts the volume at 25.2 Å³ per atom.

(4)
VASP calculation (PBE) on a relaxed structure of Ac5SmHo.

The structure belongs to space group C2/c (No. 15); the cell edges are 6.9455, 24.4715 and 7.1847 Å and the angles 90.00°, 102.97° and 90.00°. The inequivalent atoms are Ac at (0.0000, 0.1374, 0.2500), Ac at (0.0280, 0.2969, 0.5016), Ac at (0.2351, 0.0469, 0.6592), Sm at (0.0000, 0.1700, 0.7500) and Ho at (0.0000, 0.4205, 0.7500).

The value obtained for the calculated density is 8.1 g cm⁻³. The calculation puts the density of states at the Fermi level at 1.48 states/eV/atom. Its raw total energy is -4.031 eV per atom. The calculation puts the volume at 42.5 Å³ per atom.

(5)
VASP calculation (PBE) on a relaxed structure of AcSm3Ho6.

The structure belongs to space group Cmc2_1 (No. 36); the cell edges are 9.6008, 15.5919 and 8.9863 Å and the angles 90.00°, 90.00° and 90.00°. The inequivalent atoms are Ac at (0.0000, 0.2231, 0.0000), Sm at (0.0000, 0.0485, 0.7650), Sm at (0.2430, 0.4415, 0.5887), Ho at (0.0000, 0.2859, 0.6249), Ho at (0.0000, 0.4501, 0.8982), Ho at (0.1737, 0.1433, 0.4162) and Ho at (0.1760, 0.3535, 0.2588).

For the energy above the most stable polymorph in this dataset, the calculation gives 0.000 eV/atom. The value obtained for the calculated density is 8.2 g cm⁻³. The calculation puts the density of states at the Fermi level at 1.23 states/eV/atom. Its raw total energy is -4.436 eV per atom. The calculation puts the volume at 33.6 Å³ per atom.

(6)
VASP calculation (PBE) on a relaxed structure of Ac2Sm3Ho6.

The structure belongs to space group C2/m (No. 12); the cell edges are 6.2242, 10.7890 and 11.9735 Å and the angles 90.00°, 99.96° and 90.00°. The inequivalent atoms are Ac at (0.0000, 0.1669, 0.0000), Sm at (0.0000, 0.0000, 0.5000), Sm at (0.0000, 0.3355, 0.5000), Ho at (0.2460, 0.5000, 0.7418) and Ho at (0.2473, 0.1663, 0.7417).

The value obtained for the calculated density is 7.9 g cm⁻³. The calculation puts the density of states at the Fermi level at 1.38 states/eV/atom. Its raw total energy is -4.343 eV per atom. The calculation puts the volume at 36.0 Å³ per atom.

(7)
VASP calculation (PBE) on a relaxed structure of Ac7Sm2Ho.

The structure belongs to space group Cmmm (No. 65); the cell edges are 10.1419, 16.4981 and 6.0498 Å and the angles 90.00°, 90.00° and 90.00°. The inequivalent atoms are Ac at (0.0000, 0.0000, 0.0000), Ac at (0.0000, 0.2589, 0.5000), Ac at (0.1849, 0.3776, 0.0000), Sm at (0.0000, 0.2011, 0.0000) and Ho at (0.0000, 0.5000, 0.5000).

The value obtained for the calculated density is 6.7 g cm⁻³. The calculation puts the density of states at the Fermi level at 1.46 states/eV/atom. Its raw total energy is -3.659 eV per atom. The calculation puts the volume at 50.6 Å³ per atom.

(8)
VASP calculation (PBE) on a relaxed structure of AcSm7Ho4.

The structure belongs to space group P-1 (No. 2); the cell edges are 6.3200, 7.3036 and 9.0064 Å and the angles 89.94°, 76.46° and 89.98°. The inequivalent atoms are Ac at (0.0000, 0.0000, 0.0000), Sm at (0.0000, 0.5000, 0.0000), Sm at (0.2251, 0.0002, 0.3380), Sm at (0.2816, 0.7457, 0.6620), Sm at (0.5000, 0.2558, 0.9989), Ho at (0.2182, 0.4997, 0.3352) and Ho at (0.2792, 0.2561, 0.6636).

The value obtained for the calculated density is 8.0 g cm⁻³. The calculation puts the density of states at the Fermi level at 1.34 states/eV/atom. Its raw total energy is -4.611 eV per atom. The calculation puts the volume at 33.7 Å³ per atom.

(9)
VASP calculation (PBE) on a relaxed structure of Ac7Sm4Ho.

The structure belongs to space group P-1 (No. 2); the cell edges are 6.6986, 7.6843 and 9.5768 Å and the angles 89.58°, 76.70° and 89.87°. The inequivalent atoms are Ac at (0.0000, 0.0000, 0.0000), Ac at (0.2192, 0.5004, 0.3319), Ac at (0.2821, 0.7539, 0.6640), Ac at (0.4960, 0.2489, 0.9947), Sm at (0.2192, 0.0005, 0.3360), Sm at (0.2737, 0.2482, 0.6691) and Ho at (0.0000, 0.5000, 0.0000).

The value obtained for the calculated density is 8.2 g cm⁻³. The calculation puts the density of states at the Fermi level at 1.60 states/eV/atom. Its raw total energy is -4.305 eV per atom. The calculation puts the volume at 40.0 Å³ per atom.

(10)
VASP calculation (PBE) on a relaxed structure of AcSm5Ho.

The structure belongs to space group C2/c (No. 15); the cell edges are 8.9261, 10.0375 and 11.7132 Å and the angles 90.00°, 109.09° and 90.00°. The inequivalent atoms are Ac at (0.2500, 0.2500, 0.0000), Sm at (0.0000, 0.0774, 0.7500), Sm at (0.1271, 0.4261, 0.6694), Sm at (0.1703, 0.1048, 0.5341) and Ho at (0.0000, 0.2618, 0.2500).

The value obtained for the calculated density is 7.7 g cm⁻³. The calculation puts the density of states at the Fermi level at 1.44 states/eV/atom. Its raw total energy is -4.518 eV per atom. The calculation puts the volume at 35.4 Å³ per atom.

(11)
VASP calculation (PBE) on a relaxed structure of Ac2Sm12Ho5.

The structure belongs to space group C2/m (No. 12); the cell edges are 16.4981, 10.0590 and 7.9564 Å and the angles 90.00°, 90.76° and 90.00°. The inequivalent atoms are Ac at (0.0000, 0.2073, 0.0000), Sm at (0.0512, 0.5000, 0.2909), Sm at (0.1072, 0.2728, 0.6049), Sm at (0.1677, 0.0000, 0.8739), Sm at (0.1974, 0.2346, 0.2047), Ho at (0.0000, 0.0000, 0.5000), Ho at (0.1465, 0.5000, 0.9154) and Ho at (0.2474, 0.0000, 0.5058).

The value obtained for the calculated density is 7.8 g cm⁻³. The calculation puts the density of states at the Fermi level at 1.35 states/eV/atom. Its raw total energy is -4.491 eV per atom. The calculation puts the volume at 34.7 Å³ per atom.

(12)
VASP calculation (PBE) on a relaxed structure of Ac2Sm2Ho15.

The structure belongs to space group R-3m (No. 166, hexagonal axes); the cell edges are 11.3491, 11.3491 and 17.4621 Å and the angles 90.00°, 90.00° and 120.00°. The inequivalent atoms are Ac at (0.0000, 0.0000, 0.1152), Sm at (0.0000, 0.0000, 0.3353), Ho at (0.0000, 0.3077, 0.0000), Ho at (0.0000, 0.5000, 0.5000) and Ho at (0.0159, 0.5079, 0.1402).

The value obtained for the calculated density is 8.3 g cm⁻³. The calculation puts the density of states at the Fermi level at 1.83 states/eV/atom. Its raw total energy is -4.259 eV per atom. The calculation puts the volume at 34.2 Å³ per atom.

(13)
VASP calculation (PBE) on a relaxed structure of AcSm5Ho6.

The structure belongs to space group C2/m (No. 12); the cell edges are 11.8943, 10.8327 and 6.2492 Å and the angles 90.00°, 100.18° and 90.00°. The inequivalent atoms are Ac at (0.0000, 0.0000, 0.0000), Sm at (0.0000, 0.1704, 0.5000), Sm at (0.0000, 0.3361, 0.0000), Sm at (0.0000, 0.5000, 0.5000), Ho at (0.2479, 0.3322, 0.7495) and Ho at (0.2484, 0.5000, 0.2538).

The value obtained for the calculated density is 8.2 g cm⁻³. The calculation puts the density of states at the Fermi level at 1.42 states/eV/atom. Its raw total energy is -4.568 eV per atom. The calculation puts the volume at 33.0 Å³ per atom.

(14)
VASP calculation (PBE) on a relaxed structure of Ac4Sm6Ho.

The structure belongs to space group I-42m (No. 121); the cell edges are 7.1455, 7.1455 and 16.6764 Å and the angles 90.00°, 90.00° and 90.00°. The inequivalent atoms are Ac at (0.1949, 0.1949, 0.3203), Sm at (0.0000, 0.5000, 0.0000), Sm at (0.1688, 0.1688, 0.1014) and Ho at (0.0000, 0.0000, 0.5000).

The value obtained for the calculated density is 7.7 g cm⁻³. The calculation puts the density of states at the Fermi level at 1.48 states/eV/atom. Its raw total energy is -4.225 eV per atom. The calculation puts the volume at 38.7 Å³ per atom.

(15)
VASP calculation (PBE) on a relaxed structure of AcSm9Ho2.

The structure belongs to space group P4/mmm (No. 123); the cell edges are 5.1434, 5.1434 and 15.4600 Å and the angles 90.00°, 90.00° and 90.00°. The inequivalent atoms are Ac at (0.0000, 0.0000, 0.0000), Sm at (0.0000, 0.5000, 0.1739), Sm at (0.0000, 0.5000, 0.5000), Sm at (0.5000, 0.5000, 0.0000), Sm at (0.5000, 0.5000, 0.3378) and Ho at (0.0000, 0.0000, 0.3364).

The value obtained for the calculated density is 7.8 g cm⁻³. The calculation puts the density of states at the Fermi level at 1.66 states/eV/atom. Its raw total energy is -4.615 eV per atom. The calculation puts the volume at 34.1 Å³ per atom.

(16)
VASP calculation (PBE) on a relaxed structure of Ac3Sm5Ho2.

The structure belongs to space group P-1 (No. 2); the cell edges are 9.0898, 9.0990 and 9.7858 Å and the angles 107.19°, 91.34° and 108.68°. The inequivalent atoms are Ac at (0.0698, 0.2258, 0.1015), Ac at (0.2218, 0.6806, 0.3042), Ac at (0.4234, 0.2705, 0.8976), Sm at (0.0267, 0.0682, 0.6898), Sm at (0.1281, 0.3775, 0.5051), Sm at (0.2777, 0.8234, 0.7008), Sm at (0.3286, 0.9808, 0.1045), Sm at (0.4771, 0.4278, 0.3074), Ho at (0.1785, 0.5254, 0.8951) and Ho at (0.3757, 0.1249, 0.4953).

The value obtained for the calculated density is 8.1 g cm⁻³. The calculation puts the density of states at the Fermi level at 1.59 states/eV/atom. Its raw total energy is -4.460 eV per atom. The calculation puts the volume at 36.3 Å³ per atom.

(17)
VASP calculation (PBE) on a relaxed structure of AcSm4Ho6.

The structure belongs to space group Cmcm (No. 63); the cell edges are 5.8541, 9.7173 and 25.8607 Å and the angles 90.00°, 90.00° and 90.00°. The inequivalent atoms are Ac at (0.0000, 0.1942, 0.2500), Sm at (0.0000, 0.1559, 0.5427), Sm at (0.0000, 0.4657, 0.6227), Ho at (0.0000, 0.1369, 0.6803), Ho at (0.0000, 0.1914, 0.0992), Ho at (0.0000, 0.4678, 0.7500) and Ho at (0.0000, 0.5000, 0.0000).

For the energy above the most stable polymorph in this dataset, the calculation gives 0.000 eV/atom. The value obtained for the calculated density is 8.2 g cm⁻³. The calculation puts the density of states at the Fermi level at 1.80 states/eV/atom. Its raw total energy is -4.455 eV per atom. The calculation puts the volume at 33.4 Å³ per atom.

(18)
VASP calculation (PBE) on a relaxed structure of Ac2SmHo.

The structure belongs to space group P2/m (No. 10); the cell edges are 6.3978, 3.8181 and 6.6164 Å and the angles 90.00°, 110.21° and 90.00°. The inequivalent atoms are Ac at (0.0000, 0.0000, 0.0000), Ac at (0.0000, 0.5000, 0.5000), Sm at (0.5000, 0.0000, 0.5000) and Ho at (0.5000, 0.5000, 0.0000).

For the energy above the most stable polymorph in this dataset, the calculation gives 0.003 eV/atom. The value obtained for the calculated density is 8.4 g cm⁻³. The calculation puts the density of states at the Fermi level at 1.18 states/eV/atom. Its raw total energy is -4.335 eV per atom. The calculation puts the volume at 37.9 Å³ per atom.

(19)
VASP calculation (PBE) on a relaxed structure of Ac2SmHo.

The structure belongs to space group R-3m (No. 166, hexagonal axes); the cell edges are 3.7170, 3.7170 and 39.3456 Å and the angles 90.00°, 90.00° and 120.00°. The inequivalent atoms are Ac at (0.0000, 0.0000, 0.0879), Sm at (0.0000, 0.0000, 0.5000) and Ho at (0.0000, 0.0000, 0.0000).

For the energy above the most stable polymorph in this dataset, the calculation gives 0.207 eV/atom. The value obtained for the calculated density is 8.1 g cm⁻³. The calculation puts the density of states at the Fermi level at 1.82 states/eV/atom. Its raw total energy is -4.131 eV per atom. The calculation puts the volume at 39.2 Å³ per atom.

(20)
VASP calculation (PBE) on a relaxed structure of Ac6SmHo2.

The structure belongs to space group C2/c (No. 15); the cell edges are 16.0058, 9.4719 and 10.0719 Å and the angles 90.00°, 99.80° and 90.00°. The inequivalent atoms are Ac at (0.1006, 0.1949, 0.1260), Ac at (0.1197, 0.4343, 0.8327), Ac at (0.1356, 0.2202, 0.5175), Sm at (0.0000, 0.1018, 0.7500) and Ho at (0.2183, 0.0781, 0.8511).

The value obtained for the calculated density is 8.1 g cm⁻³. The calculation puts the density of states at the Fermi level at 1.65 states/eV/atom. Its raw total energy is -4.115 eV per atom. The calculation puts the volume at 41.8 Å³ per atom.